Entry from Alexandria: a relaxed structure of BaBiSbTe2 (PBE).

Lattice parameters (Å, degrees): 6.312 6.312 6.262 90.00 90.00 90.00
Positions (direct):
Ba  0.000  0.000  0.000
Bi  0.500  0.500  0.500
Sb  0.000  0.000  0.500
Te  0.000  0.500  0.000
Te  0.500  0.000  0.000

Values from the calculation:
The energy above the most stable polymorph in this dataset is 934 meV/atom. As for the volume: 249 Å³ per cell. For the formation energy without anion corrections, the calculation gives 0.6701 eV per atom. The mass density comes out at 4.8 g/cm3.



Entry from Alexandria: a relaxed structure of BaBiSbTe2 (PBE).

Lattice parameters (Å, degrees): 6.037 6.037 5.781 90.00 90.00 90.00
Positions (direct):
Ba  0.000  0.000  0.000
Bi  0.500  0.500  0.500
Sb  0.500  0.500  0.000
Te  0.000  0.500  0.500
Te  0.500  0.000  0.500

Values from the calculation:
The energy above the most stable polymorph in this dataset is 0 meV/atom. As for the volume: 211 Å³ per cell. For the formation energy without anion corrections, the calculation gives -0.2642 eV per atom. The mass density comes out at 5.7 g/cm3.



Entry from Alexandria: a relaxed structure of BaTiBi2Sb (PBE).

Lattice parameters (Å, degrees): 5.531 5.531 5.419 90.00 90.00 90.00
Positions (direct):
Ba  0.000  0.000  0.000
Ti  0.500  0.500  0.500
Bi  0.000  0.500  0.500
Bi  0.500  0.000  0.500
Sb  0.500  0.500  0.000

Values from the calculation:
As for the volume: 166 Å³ per cell. For the formation energy without anion corrections, the calculation gives -0.3711 eV per atom. The mass density comes out at 7.3 g/cm3.



Entry from Alexandria: a relaxed structure of Ba3ScBi3 (PBE).

Lattice parameters (Å, degrees): 11.635 11.635 14.651 90.00 90.00 38.03
Positions (direct):
Ba  0.009  0.637  0.133
Ba  0.137  0.509  0.633
Ba  0.176  0.824  0.845
Ba  0.324  0.676  0.345
Ba  0.363  0.991  0.133
Ba  0.491  0.863  0.633
Ba  0.509  0.137  0.367
Ba  0.637  0.009  0.867
Ba  0.676  0.324  0.655
Ba  0.824  0.176  0.155
Ba  0.863  0.491  0.367
Ba  0.991  0.363  0.867
Sc  0.085  0.085  0.500
Sc  0.415  0.415  0.000
Sc  0.585  0.585  0.000
Sc  0.915  0.915  0.500
Bi  0.045  0.635  0.378
Bi  0.135  0.545  0.878
Bi  0.222  0.778  0.603
Bi  0.278  0.722  0.103
Bi  0.365  0.955  0.378
Bi  0.455  0.865  0.878
Bi  0.545  0.135  0.122
Bi  0.635  0.045  0.622
Bi  0.722  0.278  0.897
Bi  0.778  0.222  0.397
Bi  0.865  0.455  0.122
Bi  0.955  0.365  0.622

Values from the calculation:
As for the volume: 1222 Å³ per cell. The formation energy is -0.87 eV per atom. The mass density comes out at 5.9 g/cm3.



Entry from Alexandria: a relaxed structure of BaSc3Bi (PBE).

Lattice parameters (Å, degrees): 5.352 5.352 5.352 90.00 90.00 90.00
Positions (direct):
Ba  0.000  0.000  0.000
Sc  0.000  0.000  0.500
Sc  0.000  0.500  0.000
Sc  0.500  0.000  0.000
Bi  0.500  0.500  0.500

Values from the calculation:
The energy above the most stable polymorph in this dataset is 780 meV/atom. As for the volume: 153 Å³ per cell. The formation energy is 1.04 eV per atom. The mass density comes out at 5.2 g/cm3.



Entry from Alexandria: a relaxed structure of BaSc3Bi (PBE).

Lattice parameters (Å, degrees): 5.683 5.683 5.683 90.00 90.00 90.00
Positions (direct):
Ba  0.000  0.000  0.000
Sc  0.000  0.500  0.500
Sc  0.500  0.000  0.500
Sc  0.500  0.500  0.000
Bi  0.500  0.500  0.500

Values from the calculation:
The energy above the most stable polymorph in this dataset is 0 meV/atom. As for the volume: 183 Å³ per cell. The formation energy is 0.26 eV per atom. The mass density comes out at 4.4 g/cm3.



Entry from Alexandria: a relaxed structure of BaScBi3 (PBE).

Lattice parameters (Å, degrees): 5.694 5.694 5.694 90.00 90.00 90.00
Positions (direct):
Ba  0.000  0.000  0.000
Sc  0.500  0.500  0.500
Bi  0.000  0.500  0.500
Bi  0.500  0.000  0.500
Bi  0.500  0.500  0.000

Values from the calculation:
The energy above the most stable polymorph in this dataset is 130 meV/atom. As for the volume: 185 Å³ per cell. The formation energy is -0.45 eV per atom. The mass density comes out at 7.3 g/cm3.



Entry from Alexandria: a relaxed structure of BaSc2Bi (PBE).

Lattice parameters (Å, degrees): 7.331 7.331 7.331 102.81 102.81 123.83
Positions (direct):
Ba  0.000  0.000  0.000
Ba  0.750  0.250  0.500
Sc  0.188  0.625  0.063
Sc  0.375  0.438  0.563
Sc  0.562  0.125  0.937
Sc  0.875  0.812  0.437
Bi  0.250  0.750  0.500
Bi  0.500  0.500  0.000

Values from the calculation:
As for the volume: 289 Å³ per cell. The formation energy is 0.11 eV per atom. The mass density comes out at 5.0 g/cm3.



Entry from Alexandria: a relaxed structure of BaScBi3 (PBE).

Lattice parameters (Å, degrees): 15.400 6.434 7.037 90.00 90.00 90.00
Positions (direct):
Ba  0.188  0.006  0.250
Ba  0.188  0.494  0.750
Ba  0.812  0.506  0.250
Ba  0.812  0.994  0.750
Sc  0.413  0.750  0.000
Sc  0.413  0.750  0.500
Sc  0.587  0.250  0.000
Sc  0.587  0.250  0.500
Bi  0.002  0.750  0.000
Bi  0.002  0.750  0.500
Bi  0.292  0.003  0.750
Bi  0.292  0.497  0.250
Bi  0.433  0.137  0.250
Bi  0.433  0.363  0.750
Bi  0.567  0.637  0.250
Bi  0.567  0.863  0.750
Bi  0.708  0.503  0.750
Bi  0.708  0.997  0.250
Bi  0.998  0.250  0.000
Bi  0.998  0.250  0.500

Values from the calculation:
The energy above the most stable polymorph in this dataset is 0 meV/atom. As for the volume: 697 Å³ per cell. The formation energy is -0.58 eV per atom. The mass density comes out at 7.7 g/cm3.



Entry from Alexandria: a relaxed structure of Ba2ScBi2 (PBE).

Lattice parameters (Å, degrees): 9.088 9.088 9.088 129.48 71.11 133.47
Positions (direct):
Ba  0.145  0.183  0.328
Ba  0.355  0.683  0.038
Ba  0.645  0.317  0.962
Ba  0.855  0.817  0.672
Sc  0.250  0.750  0.500
Sc  0.750  0.250  0.500
Bi  0.112  0.719  0.831
Bi  0.388  0.219  0.607
Bi  0.612  0.781  0.393
Bi  0.888  0.281  0.169

Values from the calculation:
The energy above the most stable polymorph in this dataset is 0 meV/atom. As for the volume: 412 Å³ per cell. The formation energy is -0.79 eV per atom. The mass density comes out at 5.9 g/cm3.



Entry from Alexandria: a relaxed structure of BaSc2Bi (PBE).

Lattice parameters (Å, degrees): 11.009 11.009 11.009 20.63 20.63 20.63
Positions (direct):
Ba  0.000  0.000  0.000
Sc  0.110  0.110  0.110
Sc  0.890  0.890  0.890
Bi  0.500  0.500  0.500

Values from the calculation:
As for the volume: 145 Å³ per cell. The formation energy is 0.14 eV per atom. The mass density comes out at 5.0 g/cm3.



Entry from Alexandria: a relaxed structure of BaSc2Bi (PBE).

Lattice parameters (Å, degrees): 12.252 12.252 12.252 16.60 16.60 16.60
Positions (direct):
Ba  0.000  0.000  0.000
Sc  0.418  0.418  0.418
Sc  0.582  0.582  0.582
Bi  0.500  0.500  0.500

Values from the calculation:
As for the volume: 131 Å³ per cell. The formation energy is 0.32 eV per atom. The mass density comes out at 5.5 g/cm3.



Q: Which of these has the highest mass density?
A: number 9



Q: Among the records above, which one has the highest mass density?
A: number 9



Q: Which of these has the highest mass density?
A: number 9